#w
## TbTmCd (GGA-PBE)

Data for a geometry-optimized TbTmCd structure.

Properties
The density of states at the Fermi level is 3.7 states/eV/f.u. For the volume, the calculation gives 31.6 Å³ per atom. The calculation puts the magnetic moment at 0.000 μB/atom. As for the crystal system: tetragonal. The symmetry is I-4m2.

a b c (Å): 5.119 5.119 5.118
angles (deg): 90.12 119.93 119.94
Sites, in units of the cell vectors:
1 Tb 0.944 0.472 0.417
2 Tm 0.944 0.972 0.917
3 Cd 0.444 0.222 0.667

---

#x
## TbTmCd (GGA-PBE)

Data for a geometry-optimized TbTmCd structure.

Properties
The density of states at the Fermi level is 3.5 states/eV/f.u. For the volume, the calculation gives 27.9 Å³ per atom. The calculation puts the magnetic moment at 0.000 μB/atom. As for the crystal system: trigonal. The symmetry is P3m1.

a b c (Å): 3.536 5.230 5.230
angles (deg): 120.00 90.00 90.00
Sites, in units of the cell vectors:
1 Tm 0.929 0.000 0.000
2 Tb 0.376 0.333 0.667
3 Cd 0.695 0.667 0.333

---

Most stable: #x

---

#w
## TbTmCd (GGA-PBE)

Data for a geometry-optimized TbTmCd structure.

Properties
The density of states at the Fermi level is 3.8 states/eV/f.u. For the volume, the calculation gives 27.8 Å³ per atom. The calculation puts the magnetic moment at 0.293 μB/atom. As for the crystal system: tetragonal. The symmetry is I4mm.

a b c (Å): 3.576 3.576 6.998
angles (deg): 104.80 104.80 90.00
Each line ends with the local moment (μB).
Sites, in units of the cell vectors:
1 Tm 0.322 0.322 0.645  0.33
2 Tb 0.008 0.008 0.017  0.30
3 Cd 0.669 0.669 0.339  0.01

---

#x
## TbTmCd (GGA-PBE)

Data for a geometry-optimized TbTmCd structure.

Properties
The density of states at the Fermi level is 4.4 states/eV/f.u. For the volume, the calculation gives 28.2 Å³ per atom. The calculation puts the magnetic moment at 0.055 μB/atom. As for the crystal system: orthorhombic. The symmetry is Amm2.

a b c (Å): 3.492 3.454 14.126
angles (deg): 97.02 90.01 90.00
Each line ends with the local moment (μB).
Sites, in units of the cell vectors:
1 Tb 0.560 0.567 0.134  -0.05
2 Tb 0.560 0.720 0.439  0.16
3 Tm 0.559 0.414 0.829  0.05
4 Tm 0.060 0.828 0.655  0.11
5 Cd 0.060 0.144 0.287  0.00
6 Cd 0.059 0.990 0.979  0.00

---

#y
## TbTmCd (GGA-PBE)

Data for a geometry-optimized TbTmCd structure.

Properties
The density of states at the Fermi level is 4.2 states/eV/f.u. For the volume, the calculation gives 27.7 Å³ per atom. The calculation puts the magnetic moment at 0.000 μB/atom. As for the crystal system: orthorhombic. The symmetry is Pmma.

a b c (Å): 3.355 8.116 6.107
angles (deg): 90.00 90.00 90.00
Sites, in units of the cell vectors:
1 Cd 0.500 0.209 0.250
2 Cd 0.500 0.791 0.750
3 Tm 0.000 0.116 0.750
4 Tm 0.000 0.884 0.250
5 Tb 0.000 0.500 0.500
6 Tb 0.000 0.500 0.000

---

Most stable: #w